# 1
Compound: CoW3Se
Source: Alexandria via LeMat-Bulk
Functional: PBE
Structure: relaxed

Formation energy (no corrections), eV per atom: 1.542
Excess energy over the best structure of this formula in the dataset, meV/atom: 0
Total magnetic moment, μB/f.u.: 0.000
SG: Pm-3m (221)
ρ, g/cm3: 12.53

Geometry as extended XYZ:
```
5
Lattice="4.504 0.000 0.000 0.000 4.504 0.000 0.000 0.000 4.504" Properties=species:S:1:pos:R:3 pbc="T T T"
Se 2.252 2.252 2.252
W 2.252 0.000 0.000
W 0.000 0.000 2.252
W 0.000 2.252 0.000
Co 0.000 0.000 0.000
```


# 2
Compound: CoWSe2
Source: Alexandria via LeMat-Bulk
Functional: PBE
Structure: relaxed

Formation energy (no corrections), eV per atom: 0.047
Excess energy over the best structure of this formula in the dataset, meV/atom: 164
Total magnetic moment, μB/f.u.: 0.000
SG: P4mm (99)
ρ, g/cm3: 8.81

Geometry as extended XYZ:
```
4
Lattice="3.300 0.000 0.000 0.000 3.302 0.000 0.000 0.000 6.934" Properties=species:S:1:pos:R:3 pbc="T T T"
Se 0.000 0.000 6.123
Se 1.650 1.651 2.497
W 0.000 0.000 3.707
Co 1.650 1.651 5.009
```


# 3
Compound: CoWSe2
Source: Alexandria via LeMat-Bulk
Functional: PBE
Structure: relaxed

Formation energy (no corrections), eV per atom: 0.390
Excess energy over the best structure of this formula in the dataset, meV/atom: 508
Total magnetic moment, μB/f.u.: 1.772
SG: Fm-3m (225)
ρ, g/cm3: 10.96

Geometry as extended XYZ:
```
4
Lattice="3.248 -2.736 1.193 -0.480 -4.354 -0.521 2.337 -2.123 -3.079" Properties=species:S:1:pos:R:3 pbc="T T T"
Se 3.829 -6.909 -1.806
Se 1.276 -2.303 -0.602
Co 0.000 0.000 0.000
W 2.553 -4.606 -1.204
```


> Number 3 is which compound?

CoWSe2